1:
# K2NbCo | the Alexandria database | PBE | optimized geometry
data_K2NbCo
_cell_length_a 7.5646
_cell_length_b 7.5646
_cell_length_c 7.5646
_cell_angle_alpha 90.00
_cell_angle_beta 90.00
_cell_angle_gamma 90.00
_symmetry_space_group_name_H-M 'P 1'
_symmetry_Int_Tables_number 1
_symmetry_space_group_name_Hall 'P 1'
loop_
_atom_site_label
_atom_site_type_symbol
_atom_site_fract_x
_atom_site_fract_y
_atom_site_fract_z
_atom_site_occupancy
K1 K 0.2500 0.2500 0.2500 1
K2 K 0.2500 0.2500 0.7500 1
K3 K 0.2500 0.7500 0.2500 1
K4 K 0.2500 0.7500 0.7500 1
K5 K 0.7500 0.2500 0.2500 1
K6 K 0.7500 0.2500 0.7500 1
K7 K 0.7500 0.7500 0.2500 1
K8 K 0.7500 0.7500 0.7500 1
Nb1 Nb 0.0000 0.0000 0.0000 1
Nb2 Nb 0.0000 0.5000 0.5000 1
Nb3 Nb 0.5000 0.0000 0.5000 1
Nb4 Nb 0.5000 0.5000 0.0000 1
Co1 Co 0.0000 0.0000 0.5000 1
Co2 Co 0.0000 0.5000 0.0000 1
Co3 Co 0.5000 0.0000 0.0000 1
Co4 Co 0.5000 0.5000 0.5000 1
# M_tot ... 0.00 μB/cell
# Space group ... Fm-3m


2:
# K2NbCo | the Alexandria database | PBE | optimized geometry
data_K2NbCo
_cell_length_a 12.5044
_cell_length_b 12.5044
_cell_length_c 4.5025
_cell_angle_alpha 90.00
_cell_angle_beta 90.00
_cell_angle_gamma 90.00
_symmetry_space_group_name_H-M 'P 1'
_symmetry_Int_Tables_number 1
_symmetry_space_group_name_Hall 'P 1'
loop_
_atom_site_label
_atom_site_type_symbol
_atom_site_fract_x
_atom_site_fract_y
_atom_site_fract_z
_atom_site_occupancy
K1 K 0.0860 0.7500 0.1250 1
K2 K 0.2500 0.0860 0.8750 1
K3 K 0.2500 0.4140 0.3750 1
K4 K 0.4140 0.7500 0.6250 1
K5 K 0.5860 0.2500 0.6250 1
K6 K 0.7500 0.5860 0.3750 1
K7 K 0.7500 0.9140 0.8750 1
K8 K 0.9140 0.2500 0.1250 1
Nb1 Nb 0.0000 0.0000 0.5000 1
Nb2 Nb 0.0000 0.5000 0.7500 1
Nb3 Nb 0.5000 0.0000 0.2500 1
Nb4 Nb 0.5000 0.5000 0.0000 1
Co1 Co 0.0000 0.0000 0.0000 1
Co2 Co 0.0000 0.5000 0.2500 1
Co3 Co 0.5000 0.0000 0.7500 1
Co4 Co 0.5000 0.5000 0.5000 1
# M_tot ... 6.62 μB/cell
# Space group ... I-42d


Least stable structure: 1


1:
# KCoNi | the Alexandria database | PBE | optimized geometry
data_KCoNi
_cell_length_a 2.8017
_cell_length_b 2.8017
_cell_length_c 7.3965
_cell_angle_alpha 90.00
_cell_angle_beta 90.00
_cell_angle_gamma 120.00
_symmetry_space_group_name_H-M 'P 1'
_symmetry_Int_Tables_number 1
_symmetry_space_group_name_Hall 'P 1'
loop_
_atom_site_label
_atom_site_type_symbol
_atom_site_fract_x
_atom_site_fract_y
_atom_site_fract_z
_atom_site_occupancy
K1 K 0.0000 0.0000 0.0000 1
Co1 Co 0.3333 0.6667 0.6164 1
Ni1 Ni 0.6667 0.3333 0.3743 1
# M_tot ... 1.99 μB/cell
# Space group ... P3m1


2:
# KCoNi | the Alexandria database | PBE | optimized geometry
data_KCoNi
_cell_length_a 6.4081
_cell_length_b 6.4081
_cell_length_c 6.4081
_cell_angle_alpha 90.00
_cell_angle_beta 90.00
_cell_angle_gamma 90.00
_symmetry_space_group_name_H-M 'P 1'
_symmetry_Int_Tables_number 1
_symmetry_space_group_name_Hall 'P 1'
loop_
_atom_site_label
_atom_site_type_symbol
_atom_site_fract_x
_atom_site_fract_y
_atom_site_fract_z
_atom_site_occupancy
K1 K 0.0000 0.0000 0.0000 1
K2 K 0.0000 0.5000 0.5000 1
K3 K 0.5000 0.0000 0.5000 1
K4 K 0.5000 0.5000 0.0000 1
Co1 Co 0.0000 0.0000 0.5000 1
Co2 Co 0.0000 0.5000 0.0000 1
Co3 Co 0.5000 0.0000 0.0000 1
Co4 Co 0.5000 0.5000 0.5000 1
Ni1 Ni 0.2500 0.2500 0.7500 1
Ni2 Ni 0.2500 0.7500 0.2500 1
Ni3 Ni 0.7500 0.2500 0.2500 1
Ni4 Ni 0.7500 0.7500 0.7500 1
# M_tot ... 10.41 μB/cell
# Space group ... F-43m


Least stable structure: 2


1:
# KCoNi | the Alexandria database | PBE | optimized geometry
data_KCoNi
_cell_length_a 2.6649
_cell_length_b 3.8359
_cell_length_c 11.5409
_cell_angle_alpha 90.00
_cell_angle_beta 90.00
_cell_angle_gamma 90.00
_symmetry_space_group_name_H-M 'P 1'
_symmetry_Int_Tables_number 1
_symmetry_space_group_name_Hall 'P 1'
loop_
_atom_site_label
_atom_site_type_symbol
_atom_site_fract_x
_atom_site_fract_y
_atom_site_fract_z
_atom_site_occupancy
K1 K 0.0000 0.0000 0.0000 1
K2 K 0.5000 0.5000 0.5000 1
Co1 Co 0.0000 0.0000 0.2689 1
Co2 Co 0.5000 0.5000 0.7689 1
Ni1 Ni 0.0000 0.0000 0.7294 1
Ni2 Ni 0.5000 0.5000 0.2294 1
# M_tot ... 4.26 μB/cell
# Space group ... Imm2


2:
# KCoNi | the Alexandria database | PBE | optimized geometry
data_KCoNi
_cell_length_a 6.5477
_cell_length_b 6.5477
_cell_length_c 6.5477
_cell_angle_alpha 90.00
_cell_angle_beta 90.00
_cell_angle_gamma 90.00
_symmetry_space_group_name_H-M 'P 1'
_symmetry_Int_Tables_number 1
_symmetry_space_group_name_Hall 'P 1'
loop_
_atom_site_label
_atom_site_type_symbol
_atom_site_fract_x
_atom_site_fract_y
_atom_site_fract_z
_atom_site_occupancy
K1 K 0.0000 0.0000 0.0000 1
K2 K 0.0000 0.5000 0.5000 1
K3 K 0.5000 0.0000 0.5000 1
K4 K 0.5000 0.5000 0.0000 1
Co1 Co 0.2500 0.2500 0.2500 1
Co2 Co 0.2500 0.7500 0.7500 1
Co3 Co 0.7500 0.2500 0.7500 1
Co4 Co 0.7500 0.7500 0.2500 1
Ni1 Ni 0.2500 0.2500 0.7500 1
Ni2 Ni 0.2500 0.7500 0.2500 1
Ni3 Ni 0.7500 0.2500 0.2500 1
Ni4 Ni 0.7500 0.7500 0.7500 1
# M_tot ... 8.17 μB/cell
# Space group ... F-43m


3:
# KCoNi | the Alexandria database | PBE | optimized geometry
data_KCoNi
_cell_length_a 3.2273
_cell_length_b 3.2273
_cell_length_c 11.7299
_cell_angle_alpha 90.00
_cell_angle_beta 90.00
_cell_angle_gamma 90.00
_symmetry_space_group_name_H-M 'P 1'
_symmetry_Int_Tables_number 1
_symmetry_space_group_name_Hall 'P 1'
loop_
_atom_site_label
_atom_site_type_symbol
_atom_site_fract_x
_atom_site_fract_y
_atom_site_fract_z
_atom_site_occupancy
K1 K 0.0000 0.0000 0.0000 1
K2 K 0.5000 0.5000 0.5000 1
Co1 Co 0.0000 0.0000 0.7317 1
Co2 Co 0.5000 0.5000 0.2317 1
Ni1 Ni 0.0000 0.0000 0.2725 1
Ni2 Ni 0.5000 0.5000 0.7725 1
# M_tot ... 4.40 μB/cell
# Space group ... I4mm


Least stable structure: 2